Entry from Alexandria: a relaxed La2TmPd9 crystal (PBE-GGA).

Cell lengths 4.198, 4.198, 12.494 Å; angles 90.00, 90.00, 90.00 degrees
Element x y z (fractional)
La: 0.000 0.000 0.172
La: 0.000 0.000 0.828
Tm: 0.000 0.000 0.500
Pd: 0.000 0.500 0.000
Pd: 0.000 0.500 0.341
Pd: 0.000 0.500 0.659
Pd: 0.500 0.000 0.000
Pd: 0.500 0.000 0.341
Pd: 0.500 0.000 0.659
Pd: 0.500 0.500 0.170
Pd: 0.500 0.500 0.500
Pd: 0.500 0.500 0.830

Summary:
For the formation energy, the calculation gives -0.83 eV per atom. Its space-group type is P4/mmm (123).